This record from the Alexandria database describes a relaxed Pm2TlZn2 crystal. The functional is PBE.

Lattice parameters (Å, degrees): 4.503 14.467 3.774 90.00 90.00 90.00
Space group Cmmm (No. 65)
Symmetry-distinct sites (fractional):
Pm 0.000 0.127 0.000 (multiplicity 4)
Tl 0.000 0.500 0.500 (multiplicity 2)
Zn 0.000 0.296 0.500 (multiplicity 4)

Results
ΔE to the lowest computed polymorph, meV/atom: 0
DFT formation energy, eV per formula unit: -1.8


This record from the Alexandria database describes a relaxed Pm2TlZn2 crystal. The functional is PBE.

Lattice parameters (Å, degrees): 7.350 7.350 4.563 90.00 90.00 90.00
Space group P4/mbm (No. 127)
Symmetry-distinct sites (fractional):
Pm 0.175 0.325 0.000 (multiplicity 4)
Tl 0.000 0.000 0.500 (multiplicity 2)
Zn 0.122 0.622 0.500 (multiplicity 4)

Results
ΔE to the lowest computed polymorph, meV/atom: 26
DFT formation energy, eV per formula unit: -1.7


This record from the Alexandria database describes a relaxed Pm3TlZn crystal. The functional is PBE.

Lattice parameters (Å, degrees): 5.349 20.155 5.347 90.00 90.00 90.00
Space group Cmcm (No. 63)
Symmetry-distinct sites (fractional):
Pm 0.000 0.062 0.250 (multiplicity 4)
Pm 0.000 0.250 0.250 (multiplicity 4)
Pm 0.000 0.437 0.250 (multiplicity 4)
Tl 0.000 0.156 0.750 (multiplicity 4)
Zn 0.000 0.347 0.750 (multiplicity 4)

Results
ΔE to the lowest computed polymorph, meV/atom: 0
DFT formation energy, eV per formula unit: -1.2


This record from the Alexandria database describes a relaxed Pm7Tl2Zn crystal. The functional is PBE.

Lattice parameters (Å, degrees): 11.119 11.119 11.119 90.00 90.00 90.00
Space group Fm-3m (No. 225)
Symmetry-distinct sites (fractional):
Pm 0.000 0.000 0.000 (multiplicity 4)
Pm 0.000 0.000 0.255 (multiplicity 24)
Tl 0.250 0.250 0.250 (multiplicity 8)
Zn 0.000 0.000 0.500 (multiplicity 4)

Results
DFT formation energy, eV per formula unit: 3.5


This record from the Alexandria database describes a relaxed Pm8Tl5Zn crystal. The functional is PBE.

Lattice parameters (Å, degrees): 9.475 9.475 9.527 90.00 90.00 90.00
Space group I-4 (No. 82)
Symmetry-distinct sites (fractional):
Pm 0.072 0.185 0.299 (multiplicity 8)
Pm 0.075 0.325 0.953 (multiplicity 8)
Tl 0.000 0.000 0.000 (multiplicity 2)
Tl 0.122 0.250 0.627 (multiplicity 8)
Zn 0.000 0.500 0.250 (multiplicity 2)

Results
DFT formation energy, eV per formula unit: -3.5


This record from the Alexandria database describes a relaxed Pm4TlZn3 crystal. The functional is PBE.

Lattice parameters (Å, degrees): 5.2395 5.2395 26.0824 90.00 90.00 120.00
Space group R-3m (No. 166, hexagonal axes)
Symmetry-distinct sites (fractional):
Pm 0.0000 0.0000 0.1197 (multiplicity 6)
Pm 0.0000 0.0000 0.3694 (multiplicity 6)
Tl 0.0000 0.0000 0.5000 (multiplicity 3)
Zn 0.0000 0.0000 0.0000 (multiplicity 3)
Zn 0.0000 0.0000 0.2502 (multiplicity 6)

Results
ΔE to the lowest computed polymorph, meV/atom: 0
DFT formation energy, eV per formula unit: -2.6


This record from the Alexandria database describes a relaxed PmTl2Zn crystal. The functional is PBE.

Lattice parameters (Å, degrees): 4.6831 4.6831 16.3916 90.00 90.00 120.00
Space group R-3m (No. 166, hexagonal axes)
Symmetry-distinct sites (fractional):
Pm 0.0000 0.0000 0.0000 (multiplicity 3)
Tl 0.0000 0.0000 0.2287 (multiplicity 6)
Zn 0.0000 0.0000 0.5000 (multiplicity 3)

Results
DFT formation energy, eV per formula unit: -0.6


This record from the Alexandria database describes a relaxed Pm2TlZn crystal. The functional is PBE.

Lattice parameters (Å, degrees): 7.581 7.581 7.581 90.00 90.00 90.00
Space group Fm-3m (No. 225)
Symmetry-distinct sites (fractional):
Pm 0.250 0.250 0.250 (multiplicity 8)
Tl 0.000 0.000 0.000 (multiplicity 4)
Zn 0.000 0.000 0.500 (multiplicity 4)

Results
DFT formation energy, eV per formula unit: -1.3


This record from the Alexandria database describes a relaxed Pm6TlZn2 crystal. The functional is PBE.

Lattice parameters (Å, degrees): 10.037 10.134 10.443 90.00 90.00 90.00
Space group Immm (No. 71)
Symmetry-distinct sites (fractional):
Pm 0.000 0.216 0.184 (multiplicity 8)
Pm 0.185 0.228 0.500 (multiplicity 8)
Pm 0.208 0.500 0.258 (multiplicity 8)
Tl 0.000 0.500 0.000 (multiplicity 2)
Tl 0.000 0.500 0.500 (multiplicity 2)
Zn 0.000 0.000 0.377 (multiplicity 4)
Zn 0.132 0.000 0.000 (multiplicity 4)

Results
DFT formation energy, eV per formula unit: -1.8


This record from the Alexandria database describes a relaxed Pm8TlZn2 crystal. The functional is PBE.

Lattice parameters (Å, degrees): 16.515 5.360 8.585 90.00 119.98 90.00
Space group C2/m (No. 12)
Symmetry-distinct sites (fractional):
Pm 0.069 0.000 0.222 (multiplicity 4)
Pm 0.101 0.500 0.957 (multiplicity 4)
Pm 0.147 0.000 0.708 (multiplicity 4)
Pm 0.184 0.500 0.461 (multiplicity 4)
Tl 0.000 0.500 0.500 (multiplicity 2)
Zn 0.223 0.000 0.118 (multiplicity 4)

Results
DFT formation energy, eV per formula unit: -1.8


This record from the Alexandria database describes a relaxed Pm6TlZn5 crystal. The functional is PBE.

Lattice parameters (Å, degrees): 5.225 15.747 7.406 90.00 90.00 90.00
Space group Cmmm (No. 65)
Symmetry-distinct sites (fractional):
Pm 0.000 0.000 0.239 (multiplicity 4)
Pm 0.000 0.329 0.243 (multiplicity 8)
Tl 0.000 0.500 0.500 (multiplicity 2)
Zn 0.000 0.166 0.000 (multiplicity 4)
Zn 0.000 0.168 0.500 (multiplicity 4)
Zn 0.000 0.500 0.000 (multiplicity 2)

Results
DFT formation energy, eV per formula unit: -3.8


This record from the Alexandria database describes a relaxed Pm3Tl3Zn crystal. The functional is PBE.

Lattice parameters (Å, degrees): 10.726 10.043 7.510 90.00 90.82 90.00
Space group C2/m (No. 12)
Symmetry-distinct sites (fractional):
Pm 0.042 0.000 0.262 (multiplicity 4)
Pm 0.244 0.206 0.738 (multiplicity 8)
Tl 0.000 0.267 0.000 (multiplicity 4)
Tl 0.000 0.304 0.500 (multiplicity 4)
Tl 0.195 0.500 0.942 (multiplicity 4)
Zn 0.201 0.500 0.560 (multiplicity 4)

Results
DFT formation energy, eV per formula unit: -1.6